1.
AcPm2Sm6Dy3: optimized geometry, PBE.

Results
E_form   27 meV/atom
Symmetry   C2/m

```
AcPm2Sm6Dy3
1.0
6.3111 -0.0007 0.0139
-3.1546 5.4661 0.0139
-1.0791 -1.8685 11.8722
Ac Pm Sm Dy
1 2 6 3
Cartesian
0.0000 0.0000 0.0000
0.0015 3.6433 0.0139
3.1549 1.8221 0.0139
3.1405 1.7696 8.8542
2.0924 3.6230 3.0638
-1.0631 1.8273 3.0458
-0.0367 3.6046 8.8542
-0.0151 -0.0261 8.8362
2.1140 -0.0077 3.0458
-2.1127 3.6185 5.9500
4.1901 -0.0216 5.9500
1.0387 1.7985 5.9500
```

---

2.
ScMn2RhC: optimized geometry, PBE.

Results
E_form   -254 meV/atom
Symmetry   P4/mmm

```
ScMn2RhC
1.0
3.9038 0.0000 0.0000
0.0000 3.9038 0.0000
0.0000 0.0000 4.2101
Sc C Mn Rh
1 1 2 1
Cartesian
1.9519 1.9519 2.1051
0.0000 0.0000 0.0000
0.0000 1.9519 0.0000
1.9519 0.0000 0.0000
0.0000 0.0000 2.1051
```

---

3.
Pr3Pu2TaN6: optimized geometry, PBE.

Results
Uncorrected formation energy   -1274.9 meV per atom
Symmetry   C2/m

```
Pr3Pu2TaN6
1.0
6.0021 0.0015 0.0039
-2.9983 5.1996 0.0039
-0.9982 -1.7284 5.7830
Pr Pu Ta N
3 2 1 6
Cartesian
-1.9977 3.4693 2.8954
4.0033 0.0034 2.8954
1.0028 1.7363 2.8954
0.0036 3.4659 0.0039
3.0003 1.7352 0.0039
0.0000 0.0000 0.0000
2.9386 1.8492 4.5987
2.0664 3.5780 1.2326
-0.9330 1.6235 1.1921
0.1331 3.4695 4.5987
-0.0608 -0.1053 4.5582
1.8725 0.0032 1.1921
```

---

4.
BaSrOs2O8: optimized geometry, PBE.

Results
Uncorrected formation energy   -1610.2 meV per atom
Symmetry   P-3m1

```
BaSrOs2O8
1.0
6.0563 0.0000 0.0000
-3.0282 5.2449 0.0000
0.0000 0.0000 7.9585
Ba Sr Os O
1 1 2 8
Cartesian
0.0000 0.0000 0.0000
0.0000 0.0000 3.9792
3.0282 1.7483 1.6883
0.0000 3.4966 6.2702
0.0000 3.4966 0.1118
1.5203 0.8825 2.2111
4.5319 0.8754 2.2111
3.0282 1.7483 7.8467
-1.5037 4.3696 5.7474
1.5078 4.3624 5.7474
-0.0041 1.7579 5.7474
3.0323 3.4870 2.2111
```

---

5.
UTiRhO6: optimized geometry, PBE.

Results
Uncorrected formation energy   -2314.9 meV per atom
Symmetry   P-31c

```
UTiRhO6
1.0
5.3592 0.0000 0.0000
-2.6796 4.6412 0.0000
0.0000 0.0000 8.6859
U Ti Rh O
2 2 2 12
Cartesian
0.0000 3.0941 2.1715
2.6796 1.5471 6.5144
2.6796 1.5471 2.1715
0.0000 3.0941 6.5144
0.0000 0.0000 0.0000
0.0000 0.0000 4.3429
1.8374 3.0242 1.1270
4.3800 1.5378 1.1270
-0.8582 4.5621 5.4699
-1.7004 3.1033 7.5589
0.9792 1.5378 3.2160
3.5218 3.0242 3.2160
0.8582 4.5621 7.5589
3.5378 0.0791 3.2160
-0.8422 1.6170 5.4699
1.8214 0.0791 1.1270
1.7004 3.1033 5.4699
0.8422 1.6170 7.5589
```

---

6.
Pm12Dy7Th: optimized geometry, PBE.

Results
E_form   226 meV/atom
Symmetry   R-3

```
Pm12Dy7Th
1.0
-8.4390 -2.3759 0.4181
2.3993 -8.2304 1.8815
-0.1245 1.9105 8.5657
Pm Dy Th
12 7 1
Cartesian
-6.7970 -2.9561 7.1982
-5.4770 -3.6414 1.8801
-4.9521 -1.7246 4.8435
-6.0533 -5.3947 4.5370
-2.0090 -0.2866 6.5325
-3.3927 -2.6693 8.2276
-2.7715 -6.0265 2.6377
-4.1552 -8.4091 4.3327
-0.1110 -3.3011 6.3283
-1.2121 -6.9712 6.0218
-0.6872 -5.0544 8.9851
0.6328 -5.7397 3.6671
-5.7867 -5.3210 9.5961
-3.0841 -1.0841 1.5669
-0.1674 -0.6606 3.5606
-3.0821 -4.3479 5.4326
-5.9968 -8.0352 7.3047
-3.0801 -7.6117 9.2983
-0.3775 -3.3748 1.2692
0.0000 0.0000 0.0000
```